Record 1
# KRbSr3, relaxed, DFT PBE-GGA
data_KRbSr3
_chemical_formula_sum 'K1 Rb1 Sr3'
_cell_length_a 7.4695
_cell_length_b 7.4695
_cell_length_c 7.4695
_cell_angle_alpha 90.00
_cell_angle_beta 90.00
_cell_angle_gamma 90.00
_space_group_name_H-M_alt 'P m -3 m'
_space_group_IT_number 221
_space_group_name_Hall '-P 4 2 3'
loop_
_atom_site_label
_atom_site_type_symbol
_atom_site_fract_x
_atom_site_fract_y
_atom_site_fract_z
_atom_site_occupancy
K1 K 0.0000 0.0000 0.0000 1
Rb1 Rb 0.5000 0.5000 0.5000 1
Sr1 Sr 0.0000 0.5000 0.5000 1
# - Offset from the most stable computed form: 0.113 eV per atom
# - Calculated formation energy: 0.6095 eV per atom
# - Crystal system: cubic



Record 2
# KRb2Sr, relaxed, DFT PBE-GGA
data_KRb2Sr
_chemical_formula_sum 'K1 Rb2 Sr1'
_cell_length_a 7.8008
_cell_length_b 7.8008
_cell_length_c 4.9341
_cell_angle_alpha 90.00
_cell_angle_beta 90.00
_cell_angle_gamma 90.00
_space_group_name_H-M_alt 'P 4/m m m'
_space_group_IT_number 123
_space_group_name_Hall '-P 4 2'
loop_
_atom_site_label
_atom_site_type_symbol
_atom_site_fract_x
_atom_site_fract_y
_atom_site_fract_z
_atom_site_occupancy
K1 K 0.0000 0.0000 0.0000 1
Rb1 Rb 0.0000 0.5000 0.5000 1
Sr1 Sr 0.5000 0.5000 0.0000 1
# - Offset from the most stable computed form: 0.037 eV per atom
# - Calculated formation energy: 0.1176 eV per atom
# - Crystal system: tetragonal